#A
Density functional theory data (PBE) for crystalline Fe15Co at its relaxed geometry.

Its space group is Pm-3m. The crystal system is cubic.

The structure in CIF format:
```
data_Fe15Co
_chemical_formula_sum 'Fe15 Co1'
_cell_length_a 5.680
_cell_length_b 5.680
_cell_length_c 5.680
_cell_angle_alpha 90.00
_cell_angle_beta 90.00
_cell_angle_gamma 90.00
_space_group_name_H-M_alt 'P 1'
_space_group_IT_number 1
loop_
_space_group_symop_operation_xyz
'x,y,z'
loop_
_atom_site_label
_atom_site_type_symbol
_atom_site_fract_x
_atom_site_fract_y
_atom_site_fract_z
Fe1 Fe 0.000 0.000 0.000
Fe2 Fe 0.000 0.000 0.500
Fe3 Fe 0.000 0.500 0.000
Fe4 Fe 0.000 0.500 0.500
Fe5 Fe 0.251 0.251 0.251
Fe6 Fe 0.251 0.251 0.749
Fe7 Fe 0.251 0.749 0.251
Fe8 Fe 0.251 0.749 0.749
Fe9 Fe 0.500 0.000 0.000
Fe10 Fe 0.500 0.000 0.500
Fe11 Fe 0.500 0.500 0.000
Fe12 Fe 0.749 0.251 0.251
Fe13 Fe 0.749 0.251 0.749
Fe14 Fe 0.749 0.749 0.251
Fe15 Fe 0.749 0.749 0.749
Co1 Co 0.500 0.500 0.500
```

#B
Density functional theory data (PBE) for crystalline Fe15Co at its relaxed geometry.

Its space group is P-6m2. The crystal system is hexagonal.

The structure in CIF format:
```
data_Fe15Co
_chemical_formula_sum 'Fe15 Co1'
_cell_length_a 4.943
_cell_length_b 4.943
_cell_length_c 7.872
_cell_angle_alpha 90.00
_cell_angle_beta 90.00
_cell_angle_gamma 120.00
_space_group_name_H-M_alt 'P 1'
_space_group_IT_number 1
loop_
_space_group_symop_operation_xyz
'x,y,z'
loop_
_atom_site_label
_atom_site_type_symbol
_atom_site_fract_x
_atom_site_fract_y
_atom_site_fract_z
Fe1 Fe 0.000 0.000 0.000
Fe2 Fe 0.333 0.667 0.249
Fe3 Fe 0.333 0.667 0.751
Fe4 Fe 0.336 0.168 0.249
Fe5 Fe 0.336 0.168 0.751
Fe6 Fe 0.502 0.003 0.000
Fe7 Fe 0.502 0.498 0.000
Fe8 Fe 0.503 0.005 0.500
Fe9 Fe 0.503 0.497 0.500
Fe10 Fe 0.832 0.168 0.249
Fe11 Fe 0.832 0.168 0.751
Fe12 Fe 0.832 0.664 0.249
Fe13 Fe 0.832 0.664 0.751
Fe14 Fe 0.995 0.497 0.500
Fe15 Fe 0.997 0.498 0.000
Co1 Co 0.000 0.000 0.500
```

Verdict on stability: #A comes out on top.